# Sb2AsI

Sb2AsI after structural relaxation (GGA-PBE, the Alexandria database).

Results
- offset from the most stable computed form (eV per atom) = 0.1987
- raw formation energy (eV/atom) = 0.24
- D(E_F) (states/eV per atom) = 0.204
- total moment (μB per formula unit) = 0.00

a b c (Å): 8.2291 8.2291 6.8700
angles (deg): 53.21 53.21 90.00
With the nearest neighbours (Å) after each atom.
Sites, in units of the cell vectors:
Sb 0.1732 0.6250 0.2500  2 As 2.80
Sb 0.3750 0.4232 0.7500  2 As 2.80
I 0.0000 0.0000 0.0000  4 Sb 3.33, 2 As 3.65
As 0.2500 0.7500 0.5000  4 Sb 2.80
I 0.7500 0.2500 0.5000  4 Sb 3.33, 2 As 3.65
Sb 0.5768 0.1250 0.2500  2 As 2.80
Sb 0.8750 0.8268 0.7500  2 As 2.80
As 0.5000 0.5000 0.0000  4 Sb 2.80

=====

# CsGeSbI2

CsGeSbI2 after structural relaxation (GGA-PBE, the Alexandria database).

Results
- offset from the most stable computed form (eV per atom) = 0.0000
- raw formation energy (eV/atom) = -0.34
- D(E_F) (states/eV per atom) = 0.275
- total moment (μB per formula unit) = 1.67

a b c (Å): 6.1164 6.1164 5.6981
angles (deg): 90.00 90.00 90.00
With the nearest neighbours (Å) after each atom.
Sites, in units of the cell vectors:
Sb 0.0000 0.0000 0.5000  2 Ge 2.85
Cs 0.5000 0.5000 0.5000  8 I 4.18, 4 Sb 4.32
I 0.5000 0.0000 0.0000  2 Ge 3.06
I 0.0000 0.5000 0.0000  2 Ge 3.06
Ge 0.0000 0.0000 0.0000  2 Sb 2.85, 4 I 3.06

=====

# HgSbSe2

HgSbSe2 after structural relaxation (GGA-PBE, the Alexandria database).

Results
- offset from the most stable computed form (eV per atom) = 0.3535
- raw formation energy (eV/atom) = 0.20
- D(E_F) (states/eV per atom) = 0.435
- total moment (μB per formula unit) = 0.00

a b c (Å): 3.3184 3.3184 10.4606
angles (deg): 90.00 90.00 107.58
With the nearest neighbours (Å) after each atom.
Sites, in units of the cell vectors:
Se 0.0000 0.0000 0.5496  2 Sb 2.87
Sb 0.5000 0.5000 0.7500  4 Se 2.87
Se 0.0000 0.0000 0.9504  2 Sb 2.87
Hg 0.5000 0.5000 0.2500  4 Hg 3.32, 4 Se 3.70

=====

# FeH3Se

FeH3Se after structural relaxation (GGA-PBE, the Alexandria database).

Results
- offset from the most stable computed form (eV per atom) = 0.4642
- D(E_F) (states/eV per atom) = 0.854
- total moment (μB per formula unit) = 3.43

a b c (Å): 3.6957 3.6957 3.6957
angles (deg): 90.00 90.00 90.00
With the nearest neighbours (Å) after each atom.
Sites, in units of the cell vectors:
Fe 0.5000 0.5000 0.5000  12 H 2.61
H 0.0000 0.0000 0.5000  2 Se 1.85
Se 0.0000 0.0000 0.0000  6 H 1.85
H 0.0000 0.5000 0.0000  2 Se 1.85
H 0.5000 0.0000 0.0000  2 Se 1.85

=====

# NaLi2PrP2

NaLi2PrP2 after structural relaxation (GGA-PBE, the Alexandria database).

Results
- DFT formation energy (meV/atom) = -891
- total moment (μB per formula unit) = 0.00

a b c (Å): 4.2938 4.2938 7.0866
angles (deg): 90.00 90.00 120.00
With the nearest neighbours (Å) after each atom.
Sites, in units of the cell vectors:
P 0.6667 0.3333 0.7521  3 Li 2.56
Li 0.3333 0.6667 0.6645  3 P 2.56, 3 Na 2.74
Li 0.6667 0.3333 0.3355  3 P 2.56, 3 Na 2.74
Na 0.0000 0.0000 0.5000  6 Li 2.74, 6 P 3.06
Pr 0.0000 0.0000 0.0000  6 P 3.04
P 0.3333 0.6667 0.2479  3 Li 2.56

=====

- Look up the total moment of the third one.
  0.00 μB per formula unit